(1)
Computed, not measured: an optimized crystal structure of Na2CeUAs4 at the PBE level of DFT.

The structure in POSCAR format:
```
Na2CeUAs4
1.0
7.146 0.000 0.000
0.000 4.266 0.000
-2.551 0.000 6.926
Na Ce U As
2 1 1 4
Direct
0.000 0.000 0.000 Na
0.000 0.500 0.500 Na
0.500 0.000 0.500 Ce
0.500 0.500 0.000 U
0.287 0.500 0.247 As
0.291 0.000 0.777 As
0.709 0.000 0.223 As
0.713 0.500 0.753 As
```

Energy of formation from the pure elements (meV per atom): -690.6
Magnetization (μB/cell): 0.3
V (Å³/atom): 26.4


(2)
Computed, not measured: an optimized crystal structure of HoZrPa at the PBE level of DFT.

The structure in POSCAR format:
```
HoZrPa
1.0
-1.609 1.609 7.565
1.609 -1.609 7.565
1.609 1.609 -7.565
Ho Zr Pa
1 1 1
Direct
0.000 0.000 0.000 Ho
0.329 0.329 0.000 Zr
0.674 0.674 0.000 Pa
```

Energy of formation from the pure elements (meV per atom): 156.3
Distance to the lowest polymorph of the same formula (eV/f.u.): 0.00
Magnetization (μB/cell): 0.0
V (Å³/atom): 26.1


(3)
Computed, not measured: an optimized crystal structure of Ac4Pm4Nd5 at the PBE level of DFT.

The structure in POSCAR format:
```
Ac4Pm4Nd5
1.0
-6.797 6.797 2.667
6.797 -6.797 2.667
6.797 6.797 -2.667
Ac Pm Nd
4 4 5
Direct
0.081 0.379 0.461 Ac
0.379 0.919 0.298 Ac
0.621 0.081 0.702 Ac
0.919 0.621 0.539 Ac
0.151 0.772 0.923 Pm
0.228 0.151 0.379 Pm
0.772 0.849 0.621 Pm
0.849 0.228 0.077 Pm
0.000 0.000 0.000 Nd
0.314 0.542 0.856 Nd
0.458 0.314 0.772 Nd
0.542 0.686 0.228 Nd
0.686 0.458 0.144 Nd
```

Energy of formation from the pure elements (meV per atom): 35.2
Magnetization (μB/cell): 0.0
V (Å³/atom): 37.9


(4)
Computed, not measured: an optimized crystal structure of Li2CaAs at the PBE level of DFT.

The structure in POSCAR format:
```
Li2CaAs
1.0
-2.328 2.551 3.470
2.328 -2.551 3.470
2.328 2.551 -3.470
Li Ca As
2 1 1
Direct
0.000 0.000 0.000 Li
0.761 0.261 0.500 Li
0.291 0.791 0.500 Ca
0.564 0.564 0.000 As
```

Energy of formation from the pure elements (meV per atom): -514.3
Magnetization (μB/cell): 0.0
V (Å³/atom): 20.6